No. 1
{
  "formula": "Hf8AlZn2",
  "functional": "PBE",
  "state": "relaxed",
  "dos_at_fermi_per_ev_cell": 9.9,
  "vol_a3_per_cell": 230.17,
  "energy_ev_per_cell": -85.5,
  "delta_e_f_ev_per_fu": 0.44,
  "sg": "No. 12",
  "lattice": [[3.925, -6.512, 0.000], [3.925, 6.512, 0.000], [-1.749, 0.000, 4.502]],
  "species": ["Hf", "Hf", "Hf", "Hf", "Hf", "Hf", "Hf", "Hf", "Al", "Zn", "Zn"],
  "frac_coords": [[0.087, 0.318, 0.609], [0.221, 0.779, 0.000], [0.318, 0.087, 0.609], [0.398, 0.398, 0.200], [0.602, 0.602, 0.800], [0.682, 0.913, 0.391], [0.779, 0.221, 0.000], [0.913, 0.682, 0.391], [0.000, 0.000, 0.000], [0.308, 0.692, 0.500], [0.692, 0.308, 0.500]]
}

No. 2
{
  "formula": "Hf2AlZn",
  "functional": "PBE",
  "state": "relaxed",
  "dos_at_fermi_per_ev_cell": 3.2,
  "vol_a3_per_cell": 73.70,
  "energy_ev_per_cell": -26.0,
  "delta_e_f_ev_per_fu": -1.03,
  "sg": "No. 123",
  "lattice": [[3.008, 0.000, 0.000], [0.000, 3.008, 0.000], [0.000, 0.000, 8.146]],
  "species": ["Hf", "Hf", "Al", "Zn"],
  "frac_coords": [[0.000, 0.000, 0.248], [0.000, 0.000, 0.752], [0.500, 0.500, 0.500], [0.500, 0.500, 0.000]]
}

No. 3
{
  "formula": "Hf2Al8Zn",
  "functional": "PBE",
  "state": "relaxed",
  "dos_at_fermi_per_ev_cell": 4.8,
  "vol_a3_per_cell": 190.47,
  "energy_ev_per_cell": -52.9,
  "delta_e_f_ev_per_fu": -1.74,
  "sg": "No. 2",
  "lattice": [[5.191, 0.000, 0.000], [0.320, 5.284, 0.000], [1.564, 0.531, 6.945]],
  "species": ["Hf", "Hf", "Al", "Al", "Al", "Al", "Al", "Al", "Al", "Al", "Zn"],
  "frac_coords": [[0.079, 0.293, 0.145], [0.921, 0.707, 0.855], [0.189, 0.174, 0.758], [0.263, 0.924, 0.430], [0.350, 0.792, 0.043], [0.476, 0.592, 0.696], [0.524, 0.408, 0.304], [0.650, 0.208, 0.957], [0.737, 0.076, 0.570], [0.811, 0.826, 0.242], [0.000, 0.500, 0.500]]
}

No. 4
{
  "formula": "HfAl2Zn2",
  "functional": "PBE",
  "state": "relaxed",
  "dos_at_fermi_per_ev_cell": 5.2,
  "vol_a3_per_cell": 167.65,
  "energy_ev_per_cell": -40.5,
  "delta_e_f_ev_per_fu": -0.24,
  "sg": "No. 127",
  "lattice": [[7.516, 0.000, 0.000], [0.000, 7.516, 0.000], [0.000, 0.000, 2.968]],
  "species": ["Hf", "Hf", "Al", "Al", "Al", "Al", "Zn", "Zn", "Zn", "Zn"],
  "frac_coords": [[0.000, 0.000, 0.000], [0.500, 0.500, 0.000], [0.129, 0.371, 0.000], [0.371, 0.871, 0.000], [0.629, 0.129, 0.000], [0.871, 0.629, 0.000], [0.169, 0.669, 0.500], [0.331, 0.169, 0.500], [0.669, 0.831, 0.500], [0.831, 0.331, 0.500]]
}

No. 5
{
  "formula": "HfAlZn",
  "functional": "PBE",
  "state": "relaxed",
  "dos_at_fermi_per_ev_cell": 1.2,
  "vol_a3_per_cell": 51.72,
  "energy_ev_per_cell": -16.1,
  "delta_e_f_ev_per_fu": -1.09,
  "sg": "No. 187",
  "lattice": [[4.335, 0.000, 0.000], [-2.168, 3.755, 0.000], [0.000, 0.000, 3.177]],
  "species": ["Hf", "Al", "Zn"],
  "frac_coords": [[0.000, 0.000, 0.000], [0.667, 0.333, 0.500], [0.333, 0.667, 0.500]]
}

No. 6
{
  "formula": "Hf2Al3Zn3",
  "functional": "PBE",
  "state": "relaxed",
  "dos_at_fermi_per_ev_cell": 3.6,
  "vol_a3_per_cell": 133.00,
  "energy_ev_per_cell": -37.8,
  "delta_e_f_ev_per_fu": -2.85,
  "sg": "No. 47",
  "lattice": [[4.050, 0.000, 0.000], [0.000, 4.078, 0.000], [0.000, 0.000, 8.052]],
  "species": ["Hf", "Hf", "Al", "Al", "Al", "Zn", "Zn", "Zn"],
  "frac_coords": [[0.000, 0.000, 0.249], [0.000, 0.000, 0.751], [0.000, 0.500, 0.000], [0.500, 0.000, 0.000], [0.500, 0.000, 0.500], [0.000, 0.500, 0.500], [0.500, 0.500, 0.251], [0.500, 0.500, 0.749]]
}

No. 7
{
  "formula": "HfAl4Zn",
  "functional": "PBE",
  "state": "relaxed",
  "dos_at_fermi_per_ev_cell": 1.3,
  "vol_a3_per_cell": 101.11,
  "energy_ev_per_cell": -27.3,
  "delta_e_f_ev_per_fu": -1.15,
  "sg": "No. 65",
  "lattice": [[2.056, -6.157, 0.000], [2.056, 6.157, 0.000], [0.000, 0.000, 3.994]],
  "species": ["Hf", "Al", "Al", "Al", "Al", "Zn"],
  "frac_coords": [[0.000, 0.000, 0.000], [0.170, 0.830, 0.500], [0.335, 0.665, 0.000], [0.665, 0.335, 0.000], [0.830, 0.170, 0.500], [0.500, 0.500, 0.500]]
}

No. 8
{
  "formula": "HfZrAlZn",
  "functional": "PBE",
  "state": "relaxed",
  "dos_at_fermi_per_ev_cell": 3.7,
  "vol_a3_per_cell": 75.01,
  "energy_ev_per_cell": -24.7,
  "delta_e_f_ev_per_fu": -1.19,
  "sg": "No. 119",
  "lattice": [[-2.163, 2.163, 4.009], [2.163, -2.163, 4.009], [2.163, 2.163, -4.009]],
  "species": ["Hf", "Zr", "Al", "Zn"],
  "frac_coords": [[0.000, 0.000, 0.000], [0.500, 0.500, 0.000], [0.250, 0.750, 0.500], [0.750, 0.250, 0.500]]
}

Repeat the seventh record exactly.
{
  "formula": "HfAl4Zn",
  "functional": "PBE",
  "state": "relaxed",
  "dos_at_fermi_per_ev_cell": 1.3,
  "vol_a3_per_cell": 101.11,
  "energy_ev_per_cell": -27.3,
  "delta_e_f_ev_per_fu": -1.15,
  "sg": "No. 65",
  "lattice": [[2.056, -6.157, 0.000], [2.056, 6.157, 0.000], [0.000, 0.000, 3.994]],
  "species": ["Hf", "Al", "Al", "Al", "Al", "Zn"],
  "frac_coords": [[0.000, 0.000, 0.000], [0.170, 0.830, 0.500], [0.335, 0.665, 0.000], [0.665, 0.335, 0.000], [0.830, 0.170, 0.500], [0.500, 0.500, 0.500]]
}